Material: FeHg
Method: DFT, PBE-GGA
State: relaxed

The structure in POSCAR format:
```
FeHg
1.0
3.8983 0.0000 0.0000
-1.9491 3.3760 0.0000
0.0000 0.0000 5.9382
Hg Fe
2 2
Direct
0.0000 0.0000 0.5000 Hg
0.0000 0.0000 0.0000 Hg
0.3333 0.6667 0.7500 Fe
0.6667 0.3333 0.2500 Fe
```

Calculated values
Symmetry = P6_3/mmc, No. 194
Formation energy = 826 meV per atom
Spin magnetization = 2.8 μB per formula unit
Calculated volume = 19.5 A^3/atom

---

Material: Cu7Ag3
Method: DFT, PBE-GGA
State: relaxed

The structure in POSCAR format:
```
Cu7Ag3
1.0
5.2126 -1.3930 0.0000
5.2126 1.3930 0.0000
-0.6714 0.0000 9.4014
Cu Ag
7 3
Direct
0.8076 0.8076 0.4099 Cu
0.5731 0.5731 0.7675 Cu
0.4269 0.4269 0.2325 Cu
0.5000 0.5000 0.5000 Cu
0.1123 0.1123 0.3269 Cu
0.8877 0.8877 0.6731 Cu
0.1924 0.1924 0.5901 Cu
0.2781 0.2781 0.8743 Ag
0.0000 0.0000 0.0000 Ag
0.7219 0.7219 0.1257 Ag
```

Calculated values
Symmetry = C2/m, No. 12
Formation energy = 64 meV per atom
Calculated volume = 13.7 A^3/atom

---

Material: NaSmPd
Method: DFT, PBE-GGA
State: relaxed

The structure in POSCAR format:
```
NaSmPd
1.0
0.0000 3.4283 3.4283
3.4283 0.0000 3.4283
3.4283 3.4283 0.0000
Sm Pd Na
1 1 1
Direct
0.7500 0.7500 0.7500 Sm
0.0000 0.0000 0.0000 Pd
0.2500 0.2500 0.2500 Na
```

Calculated values
Symmetry = F-43m, No. 216
Spin magnetization = 0.0 μB per formula unit
Calculated volume = 26.9 A^3/atom
Total energy = -3.990 eV/atom

---

Material: BeCoBPd
Method: DFT, PBE-GGA
State: relaxed

The structure in POSCAR format:
```
BeCoBPd
1.0
-0.8995 -2.8552 -2.2880
-2.3978 0.5554 -2.8527
1.2570 -0.0359 -3.5517
Pd Co Be B
1 1 1 1
Direct
0.2500 0.2500 0.2500 Pd
0.7500 0.7500 0.7500 Co
0.5000 0.5000 0.5000 Be
0.0000 0.0000 0.0000 B
```

Calculated values
Symmetry = F-43m, No. 216
Spin magnetization = 0.0 μB per formula unit
Calculated volume = 9.5 A^3/atom
Total energy = -5.800 eV/atom

---

Material: HoAlGe
Method: DFT, PBE-GGA
State: relaxed

The structure in POSCAR format:
```
HoAlGe
1.0
0.0000 3.2715 3.2715
3.2715 0.0000 3.2715
3.2715 3.2715 0.0000
Ho Al Ge
1 1 1
Direct
0.7500 0.7500 0.7500 Ho
0.0000 0.0000 0.0000 Al
0.2500 0.2500 0.2500 Ge
```

Calculated values
Symmetry = F-43m, No. 216
Spin magnetization = 0.0 μB per formula unit
Calculated volume = 23.3 A^3/atom
Total energy = -4.363 eV/atom

---

Material: TaAlOs2
Method: DFT, PBE-GGA
State: relaxed

The structure in POSCAR format:
```
TaAlOs2
1.0
-3.8499 2.1136 -0.4191
0.2026 -4.3613 -0.6343
-1.4815 -1.1814 7.6505
Al Os Ta
2 4 2
Direct
0.3333 0.6667 0.2500 Al
0.6667 0.3333 0.7500 Al
0.6667 0.3333 0.4026 Os
0.6667 0.3333 0.0974 Os
0.3333 0.6667 0.9026 Os
0.3333 0.6667 0.5974 Os
0.0000 0.0000 0.5000 Ta
0.0000 0.0000 0.0000 Ta
```

Calculated values
Symmetry = P6_3/mmc, No. 194
Spin magnetization = 0.0 μB per formula unit
Calculated volume = 16.6 A^3/atom
Total energy = -9.577 eV/atom

---

Material: PuZr
Method: DFT, PBE-GGA
State: relaxed

The structure in POSCAR format:
```
PuZr
1.0
-8.3059 1.3645 1.8104
-0.4184 -2.9294 -5.7903
-0.2533 -4.7626 2.4277
Zr Pu
6 6
Direct
0.9001 0.2241 0.5000 Zr
0.6774 0.6681 0.0000 Zr
0.9976 0.9973 0.0000 Zr
0.2143 0.0594 0.5000 Zr
0.8952 0.7275 0.5000 Zr
0.9854 0.4938 0.0000 Zr
0.5573 0.8796 0.5000 Pu
0.3293 0.3417 0.0000 Pu
0.2161 0.5597 0.5000 Pu
0.3259 0.8377 0.0000 Pu
0.6694 0.1603 0.0000 Pu
0.5654 0.3842 0.5000 Pu
```

Calculated values
Symmetry = Pm, No. 6
Formation energy = 54 meV per atom
Spin magnetization = 5.4 μB per formula unit
Calculated volume = 24.5 A^3/atom

---

Material: LuFeCu2
Method: DFT, PBE-GGA
State: relaxed

The structure in POSCAR format:
```
LuFeCu2
1.0
-3.1221 -3.1000 0.3382
1.1045 -4.1364 1.0687
-1.0815 -1.6194 3.9598
Cu Fe Lu
2 1 1
Direct
0.7500 0.7500 0.7500 Cu
0.0000 0.0000 0.0000 Cu
0.2500 0.2500 0.2500 Fe
0.5000 0.5000 0.5000 Lu
```

Calculated values
Symmetry = F-43m, No. 216
Formation energy = 146 meV per atom
Spin magnetization = 2.2 μB per formula unit
Calculated volume = 15.2 A^3/atom